A plane-wave DFT calculation with PBE was carried out for crystalline Tl4BiF7 at its relaxed geometry.

extended XYZ file:
```
12
Lattice="9.9157 -2.2608 0.0000 9.9157 2.2608 0.0000 -2.1397 0.0000 6.2921" Properties=species:S:1:pos:R:3 pbc="T T T"
Tl 1.7081 0.0000 0.4392
Tl 2.6350 0.0000 4.2770
Tl 15.0567 0.0000 2.0152
Tl 15.9836 0.0000 5.8530
Bi 8.8459 0.0000 3.1461
F -1.0698 0.0000 3.1461
F 3.7084 0.0000 1.9650
F 7.5610 0.0000 1.2550
F 6.9177 0.0000 4.3607
F 10.7740 0.0000 1.9314
F 10.1307 0.0000 5.0372
F 13.9833 0.0000 4.3271
```

Properties
ΔE_f (raw) in meV/atom: -1988
Total magnetization in μB per cell: 0.000